# 1
Material: CaAlTeN2
Method: DFT, PBE
State: relaxed

Calculated values
raw formation energy	587	kJ/mol of formula units
ρ	2.82	Mg/m³
space-group type	No. 123

a = 4.529 Å, b = 4.529 Å, c = 6.394 Å
α = 90.00°, β = 90.00°, γ = 90.00°
Element x y z (fractional)
Ca (0.000, 0.000, 0.000)
Al (0.500, 0.500, 0.500)
Te (0.000, 0.000, 0.500)
N (0.000, 0.500, 0.000)
N (0.500, 0.000, 0.000)

# 2
Material: CaAlTeN2
Method: DFT, PBE
State: relaxed

Calculated values
raw formation energy	117	kJ/mol of formula units
ρ	3.93	Mg/m³
space-group type	No. 123

a = 4.090 Å, b = 4.090 Å, c = 5.618 Å
α = 90.00°, β = 90.00°, γ = 90.00°
Element x y z (fractional)
Ca (0.000, 0.000, 0.000)
Al (0.500, 0.500, 0.500)
Te (0.500, 0.500, 0.000)
N (0.000, 0.500, 0.500)
N (0.500, 0.000, 0.500)

# 3
Material: Ca2AlTeN
Method: DFT, PBE
State: relaxed

Calculated values
raw formation energy	-410	kJ/mol of formula units
ρ	3.88	Mg/m³
space-group type	No. 123

a = 5.184 Å, b = 5.184 Å, c = 3.962 Å
α = 90.00°, β = 90.00°, γ = 90.00°
Element x y z (fractional)
Ca (0.000, 0.500, 0.000)
Ca (0.500, 0.000, 0.000)
Al (0.000, 0.000, 0.500)
Te (0.500, 0.500, 0.500)
N (0.000, 0.000, 0.000)

# 4
Material: Ca3U3AlN8
Method: DFT, PBE
State: relaxed

Calculated values
raw formation energy	-1632	kJ/mol of formula units
ρ	7.23	Mg/m³
space-group type	No. 166

a = 6.885 Å, b = 6.885 Å, c = 6.885 Å
α = 58.63°, β = 58.63°, γ = 58.63°
Element x y z (fractional)
Ca (0.000, 0.500, 0.500)
Ca (0.500, 0.000, 0.500)
Ca (0.500, 0.500, 0.000)
U (0.000, 0.000, 0.500)
U (0.000, 0.500, 0.000)
U (0.500, 0.000, 0.000)
Al (0.500, 0.500, 0.500)
N (0.242, 0.242, 0.242)
N (0.243, 0.724, 0.724)
N (0.276, 0.276, 0.757)
N (0.276, 0.757, 0.276)
N (0.724, 0.243, 0.724)
N (0.724, 0.724, 0.243)
N (0.757, 0.276, 0.276)
N (0.758, 0.758, 0.758)

# 5
Material: Ca2YAlN
Method: DFT, PBE
State: relaxed

Calculated values
raw formation energy	-325	kJ/mol of formula units
ρ	3.03	Mg/m³
space-group type	No. 123

a = 4.929 Å, b = 4.929 Å, c = 4.731 Å
α = 90.00°, β = 90.00°, γ = 90.00°
Element x y z (fractional)
Ca (0.000, 0.500, 0.000)
Ca (0.500, 0.000, 0.000)
Y (0.000, 0.000, 0.500)
Al (0.500, 0.500, 0.500)
N (0.000, 0.000, 0.000)

# 6
Material: Ca2ZrAlN
Method: DFT, PBE
State: relaxed

Calculated values
raw formation energy	833	kJ/mol of formula units
ρ	1.88	Mg/m³
space-group type	No. 123

a = 6.032 Å, b = 6.032 Å, c = 5.168 Å
α = 90.00°, β = 90.00°, γ = 90.00°
Element x y z (fractional)
Ca (0.000, 0.500, 0.000)
Ca (0.500, 0.000, 0.000)
Zr (0.000, 0.000, 0.000)
Al (0.000, 0.000, 0.500)
N (0.500, 0.500, 0.500)

# 7
Material: Na2Ca5Al2
Method: DFT, PBE
State: relaxed

Calculated values
ρ	1.54	Mg/m³
space-group type	No. 64
energy of formation	-68.5	meV per atom

a = 10.393 Å, b = 10.393 Å, c = 8.227 Å
α = 90.00°, β = 90.00°, γ = 46.82°
Element x y z (fractional)
Na (0.229, 0.229, 0.000)
Na (0.271, 0.271, 0.500)
Na (0.729, 0.729, 0.500)
Na (0.771, 0.771, 0.000)
Ca (0.000, 0.000, 0.000)
Ca (0.068, 0.713, 0.677)
Ca (0.213, 0.568, 0.177)
Ca (0.287, 0.932, 0.677)
Ca (0.432, 0.787, 0.177)
Ca (0.500, 0.500, 0.500)
Ca (0.568, 0.213, 0.823)
Ca (0.713, 0.068, 0.323)
Ca (0.787, 0.432, 0.823)
Ca (0.932, 0.287, 0.323)
Al (0.115, 0.885, 0.385)
Al (0.385, 0.615, 0.885)
Al (0.615, 0.385, 0.115)
Al (0.885, 0.115, 0.615)

# 8
Material: Na2CaAl9
Method: DFT, PBE
State: relaxed

Calculated values
ρ	2.22	Mg/m³
space-group type	No. 166
energy of formation	-40.4	meV per atom

a = 9.507 Å, b = 9.507 Å, c = 9.507 Å
α = 34.50°, β = 34.50°, γ = 34.50°
Element x y z (fractional)
Na (0.144, 0.144, 0.144)
Na (0.856, 0.856, 0.856)
Ca (0.000, 0.000, 0.000)
Al (0.077, 0.586, 0.586)
Al (0.335, 0.335, 0.335)
Al (0.414, 0.414, 0.923)
Al (0.414, 0.923, 0.414)
Al (0.500, 0.500, 0.500)
Al (0.586, 0.077, 0.586)
Al (0.586, 0.586, 0.077)
Al (0.665, 0.665, 0.665)
Al (0.923, 0.414, 0.414)

# 9
Material: NaCa2Al
Method: DFT, PBE
State: relaxed

Calculated values
ρ	1.57	Mg/m³
space-group type	No. 160
energy of formation	49.0	meV per atom

a = 11.322 Å, b = 11.322 Å, c = 11.322 Å
α = 19.24°, β = 19.24°, γ = 19.24°
Element x y z (fractional)
Na (0.000, 0.000, 0.000)
Ca (0.568, 0.568, 0.568)
Ca (0.764, 0.764, 0.764)
Al (0.166, 0.166, 0.166)

# 10
Material: Na2CaAl
Method: DFT, PBE
State: relaxed

Calculated values
ρ	1.49	Mg/m³
space-group type	No. 122
energy of formation	183.7	meV per atom

a = 12.566 Å, b = 12.566 Å, c = 12.566 Å
α = 159.14°, β = 159.14°, γ = 29.67°
Element x y z (fractional)
Na (0.097, 0.625, 0.972)
Na (0.375, 0.347, 0.472)
Na (0.653, 0.125, 0.028)
Na (0.875, 0.903, 0.528)
Ca (0.250, 0.750, 0.500)
Ca (0.500, 0.500, 0.000)
Al (0.000, 0.000, 0.000)
Al (0.750, 0.250, 0.500)

# 11
Material: Na2Ca2Al
Method: DFT, PBE
State: relaxed

Calculated values
ρ	1.59	Mg/m³
space-group type	No. 127
energy of formation	179.8	meV per atom

a = 7.861 Å, b = 7.861 Å, c = 5.161 Å
α = 90.00°, β = 90.00°, γ = 90.00°
Element x y z (fractional)
Na (0.131, 0.369, 0.000)
Na (0.369, 0.869, 0.000)
Na (0.631, 0.131, 0.000)
Na (0.869, 0.631, 0.000)
Ca (0.190, 0.690, 0.500)
Ca (0.310, 0.190, 0.500)
Ca (0.690, 0.810, 0.500)
Ca (0.810, 0.310, 0.500)
Al (0.000, 0.000, 0.000)
Al (0.500, 0.500, 0.000)

# 12
Material: NaCaAl3
Method: DFT, PBE
State: relaxed

Calculated values
ρ	1.77	Mg/m³
space-group type	No. 221
energy of formation	657.8	meV per atom

a = 5.128 Å, b = 5.128 Å, c = 5.128 Å
α = 90.00°, β = 90.00°, γ = 90.00°
Element x y z (fractional)
Na (0.000, 0.000, 0.000)
Ca (0.500, 0.500, 0.500)
Al (0.000, 0.000, 0.500)
Al (0.000, 0.500, 0.000)
Al (0.500, 0.000, 0.000)

# 13
Material: NaCa3Al
Method: DFT, PBE
State: relaxed

Calculated values
ρ	1.44	Mg/m³
space-group type	No. 221
energy of formation	630.4	meV per atom

a = 5.818 Å, b = 5.818 Å, c = 5.818 Å
α = 90.00°, β = 90.00°, γ = 90.00°
Element x y z (fractional)
Na (0.000, 0.000, 0.000)
Ca (0.000, 0.000, 0.500)
Ca (0.000, 0.500, 0.000)
Ca (0.500, 0.000, 0.000)
Al (0.500, 0.500, 0.500)

# 14
Material: Na2Ca2Al
Method: DFT, PBE
State: relaxed

Calculated values
ρ	1.34	Mg/m³
space-group type	No. 127
energy of formation	219.5	meV per atom

a = 8.208 Å, b = 8.208 Å, c = 5.619 Å
α = 90.00°, β = 90.00°, γ = 90.00°
Element x y z (fractional)
Na (0.158, 0.342, 0.000)
Na (0.342, 0.842, 0.000)
Na (0.658, 0.158, 0.000)
Na (0.842, 0.658, 0.000)
Ca (0.161, 0.661, 0.500)
Ca (0.339, 0.161, 0.500)
Ca (0.661, 0.839, 0.500)
Ca (0.839, 0.339, 0.500)
Al (0.000, 0.000, 0.500)
Al (0.500, 0.500, 0.500)

# 15
Material: NaCa2Al
Method: DFT, PBE
State: relaxed

Calculated values
ρ	1.49	Mg/m³
space-group type	No. 166
energy of formation	364.2	meV per atom

a = 12.826 Å, b = 12.826 Å, c = 12.826 Å
α = 16.31°, β = 16.31°, γ = 16.31°
Element x y z (fractional)
Na (0.000, 0.000, 0.000)
Ca (0.418, 0.418, 0.418)
Ca (0.582, 0.582, 0.582)
Al (0.500, 0.500, 0.500)

# 16
Material: NaCa2Al
Method: DFT, PBE
State: relaxed

Calculated values
ρ	1.57	Mg/m³
space-group type	No. 122
energy of formation	211.7	meV per atom

a = 7.172 Å, b = 7.172 Å, c = 7.172 Å
α = 103.86°, β = 103.86°, γ = 121.38°
Element x y z (fractional)
Na (0.000, 0.000, 0.000)
Na (0.750, 0.250, 0.500)
Ca (0.156, 0.125, 0.531)
Ca (0.375, 0.844, 0.969)
Ca (0.594, 0.625, 0.469)
Ca (0.875, 0.406, 0.031)
Al (0.250, 0.750, 0.500)
Al (0.500, 0.500, 0.000)

# 17
Material: NaCa2Al
Method: DFT, PBE
State: relaxed

Calculated values
ρ	1.66	Mg/m³
space-group type	No. 123
energy of formation	-87.8	meV per atom

a = 3.700 Å, b = 3.700 Å, c = 9.492 Å
α = 90.00°, β = 90.00°, γ = 90.00°
Element x y z (fractional)
Na (0.000, 0.000, 0.000)
Ca (0.500, 0.500, 0.305)
Ca (0.500, 0.500, 0.695)
Al (0.000, 0.000, 0.500)

# 18
Material: NaCaAl3
Method: DFT, PBE
State: relaxed

Calculated values
ρ	1.30	Mg/m³
space-group type	No. 221
energy of formation	914.2	meV per atom

a = 5.692 Å, b = 5.692 Å, c = 5.692 Å
α = 90.00°, β = 90.00°, γ = 90.00°
Element x y z (fractional)
Na (0.000, 0.000, 0.000)
Ca (0.500, 0.500, 0.500)
Al (0.000, 0.500, 0.500)
Al (0.500, 0.000, 0.500)
Al (0.500, 0.500, 0.000)

# 19
Material: NaCa2Al
Method: DFT, PBE
State: relaxed

Calculated values
ρ	1.44	Mg/m³
space-group type	No. 71
energy of formation	385.0	meV per atom

a = 7.638 Å, b = 7.638 Å, c = 7.638 Å
α = 152.94°, β = 131.95°, γ = 56.02°
Element x y z (fractional)
Na (0.000, 0.000, 0.000)
Ca (0.273, 0.273, 0.000)
Ca (0.727, 0.727, 0.000)
Al (0.500, 0.500, 0.000)

# 20
Material: NaCa3Al
Method: DFT, PBE
State: relaxed

Calculated values
ρ	1.32	Mg/m³
space-group type	No. 221
energy of formation	85.7	meV per atom

a = 5.977 Å, b = 5.977 Å, c = 5.977 Å
α = 90.00°, β = 90.00°, γ = 90.00°
Element x y z (fractional)
Na (0.000, 0.000, 0.000)
Ca (0.000, 0.500, 0.500)
Ca (0.500, 0.000, 0.500)
Ca (0.500, 0.500, 0.000)
Al (0.500, 0.500, 0.500)